Entry from the Alexandria database: a geometry-optimized LiLaZr2 structure (PBE).

```
data_LiLaZr2
_space_group_name_H-M_alt 'C 1 m 1'
_space_group_IT_number 8
_space_group_name_Hall 'C -2y'
_cell_length_a 10.504
_cell_length_b 3.217
_cell_length_c 6.014
_cell_angle_alpha 90.00
_cell_angle_beta 98.10
_cell_angle_gamma 90.00
loop_
_atom_site_label
_atom_site_type_symbol
_atom_site_fract_x
_atom_site_fract_y
_atom_site_fract_z
Li1 Li 0.000 0.000 0.000
La1 La 0.247 0.000 0.763
Zr1 Zr 0.242 0.500 0.272
Zr2 Zr 0.483 0.000 0.435
```

Results
For the formation energy from the elements, the calculation gives 94 kJ/mol of formula units.


Entry from the Alexandria database: a geometry-optimized LiLa2Zr structure (PBE).

```
data_LiLa2Zr
_space_group_name_H-M_alt 'P m m m'
_space_group_IT_number 47
_space_group_name_Hall '-P 2 2'
_cell_length_a 3.472
_cell_length_b 5.535
_cell_length_c 5.784
_cell_angle_alpha 90.00
_cell_angle_beta 90.00
_cell_angle_gamma 90.00
loop_
_atom_site_label
_atom_site_type_symbol
_atom_site_fract_x
_atom_site_fract_y
_atom_site_fract_z
Li1 Li 0.000 0.000 0.000
La1 La 0.000 0.500 0.500
La2 La 0.500 0.500 0.000
Zr1 Zr 0.500 0.000 0.500
```

Results
The polymorph energy (0 for the lowest one) is 184 meV per atom. For the formation energy from the elements, the calculation gives 115 kJ/mol of formula units.


Entry from the Alexandria database: a geometry-optimized LiLaZr2 structure (PBE).

```
data_LiLaZr2
_space_group_name_H-M_alt 'I 4/m m m'
_space_group_IT_number 139
_space_group_name_Hall '-I 4 2'
_cell_length_a 4.424
_cell_length_b 4.424
_cell_length_c 9.979
_cell_angle_alpha 90.00
_cell_angle_beta 90.00
_cell_angle_gamma 90.00
loop_
_atom_site_label
_atom_site_type_symbol
_atom_site_fract_x
_atom_site_fract_y
_atom_site_fract_z
Li1 Li 0.000 0.000 0.000
La1 La 0.000 0.000 0.500
Zr1 Zr 0.000 0.500 0.250
```

Results
For the formation energy from the elements, the calculation gives 111 kJ/mol of formula units.


Entry from the Alexandria database: a geometry-optimized LiLa2Zr structure (PBE).

```
data_LiLa2Zr
_space_group_name_H-M_alt 'R 3 m'
_space_group_IT_number 160
_space_group_name_Hall 'R 3 -2"'
_cell_length_a 3.4581
_cell_length_b 3.4581
_cell_length_c 33.3692
_cell_angle_alpha 90.00
_cell_angle_beta 90.00
_cell_angle_gamma 120.00
loop_
_atom_site_label
_atom_site_type_symbol
_atom_site_fract_x
_atom_site_fract_y
_atom_site_fract_z
Li1 Li 0.0000 0.0000 0.0000
La1 La 0.0000 0.0000 0.5121
La2 La 0.0000 0.0000 0.7534
Zr1 Zr 0.0000 0.0000 0.2596
```

Results
The polymorph energy (0 for the lowest one) is 111 meV per atom. For the formation energy from the elements, the calculation gives 87 kJ/mol of formula units.